(1)
VASP calculation (GGA-PBE) on Pm6SmCd after structural relaxation.

- Energy relative to the lowest polymorph listed for this composition: 0 meV/atom
- E_form: -25.2 kJ/mol of formula units

Cell: 5.013 5.013 10.902 Å, 76.71 76.71 90.00°
Fractional positions:
Pm 0.748 0.748 0.505
Pm 0.622 0.122 0.757
Pm 0.122 0.622 0.757
Pm 0.378 0.878 0.243
Pm 0.252 0.252 0.495
Pm 0.878 0.378 0.243
Sm 0.500 0.500 0.000
Cd 0.000 0.000 0.000


(2)
VASP calculation (GGA-PBE) on PmSm8Cd2 after structural relaxation.

- E_form: 312.1 kJ/mol of formula units

Cell: 5.295 8.906 8.906 Å, 74.68 81.01 81.01°
Fractional positions:
Pm 0.000 0.000 0.000
Sm 0.789 0.166 0.635
Sm 0.211 0.365 0.834
Sm 0.874 0.239 0.239
Sm 0.126 0.761 0.761
Sm 0.789 0.635 0.166
Sm 0.211 0.834 0.365
Sm 0.293 0.416 0.416
Sm 0.707 0.584 0.584
Cd 0.445 0.126 0.126
Cd 0.555 0.874 0.874


(3)
VASP calculation (GGA-PBE) on Pm3Sm6Cd after structural relaxation.

- Energy relative to the lowest polymorph listed for this composition: 54 meV/atom
- E_form: 32.8 kJ/mol of formula units

Cell: 8.826 8.826 8.826 Å, 99.79 99.79 99.79°
Fractional positions:
Pm 0.329 0.911 0.911
Pm 0.911 0.911 0.329
Pm 0.089 0.671 0.089
Pm 0.911 0.329 0.911
Pm 0.089 0.089 0.671
Pm 0.671 0.089 0.089
Sm 0.352 0.083 0.353
Sm 0.917 0.647 0.648
Sm 0.500 0.755 0.245
Sm 0.647 0.648 0.917
Sm 0.245 0.500 0.755
Sm 0.245 0.755 0.500
Sm 0.755 0.245 0.500
Sm 0.755 0.500 0.245
Sm 0.353 0.352 0.083
Sm 0.500 0.245 0.755
Sm 0.083 0.353 0.352
Sm 0.648 0.917 0.647
Cd 0.000 0.000 0.000
Cd 0.500 0.500 0.500


(4)
VASP calculation (GGA-PBE) on Pm2Sm3Cd after structural relaxation.

- Energy relative to the lowest polymorph listed for this composition: 69 meV/atom
- E_form: -15.6 kJ/mol of formula units

Cell: 6.183 6.197 11.730 Å, 84.89 79.70 60.08°
Fractional positions:
Pm 0.000 0.000 0.000
Pm 0.500 0.000 0.500
Pm 0.164 0.672 0.500
Pm 0.836 0.328 0.500
Sm 0.420 0.660 0.756
Sm 0.260 0.000 0.243
Sm 0.580 0.340 0.244
Sm 0.920 0.660 0.244
Sm 0.080 0.340 0.756
Sm 0.740 0.000 0.757
Cd 0.668 0.665 0.000
Cd 0.332 0.335 0.000


(5)
VASP calculation (GGA-PBE) on Pm3Sm2Cd3 after structural relaxation.

- E_form: -182.2 kJ/mol of formula units

Cell: 3.824 5.489 11.766 Å, 103.49 99.35 90.00°
Fractional positions:
Pm 0.622 0.622 0.244
Pm 0.378 0.378 0.756
Pm 0.500 0.000 0.000
Sm 0.734 0.234 0.468
Sm 0.266 0.766 0.532
Cd 0.118 0.118 0.236
Cd 0.000 0.500 0.000
Cd 0.882 0.882 0.764


(6)
VASP calculation (GGA-PBE) on PmSm7Cd4 after structural relaxation.

- E_form: -22.5 kJ/mol of formula units

Cell: 5.818 9.164 8.026 Å, 70.09 68.75 71.49°
Fractional positions:
Pm 0.000 0.000 0.000
Sm 0.796 0.881 0.527
Sm 0.204 0.119 0.473
Sm 0.070 0.589 0.271
Sm 0.930 0.411 0.729
Sm 0.264 0.692 0.780
Sm 0.500 0.000 0.000
Sm 0.736 0.308 0.220
Cd 0.541 0.288 0.631
Cd 0.459 0.712 0.369
Cd 0.682 0.658 0.979
Cd 0.318 0.342 0.021


(7)
VASP calculation (GGA-PBE) on PmSmCd after structural relaxation.

- Energy relative to the lowest polymorph listed for this composition: 283 meV/atom
- E_form: 24.4 kJ/mol of formula units

Cell: 5.730 8.236 8.236 Å, 90.00 90.00 90.00°
Fractional positions:
Cd 0.000 0.500 0.692
Cd 0.500 0.308 0.500
Cd 0.500 0.692 0.500
Cd 0.000 0.500 0.308
Sm 0.000 0.821 0.500
Sm 0.500 0.500 0.821
Sm 0.500 0.500 0.179
Sm 0.000 0.179 0.500
Pm 0.000 0.773 0.000
Pm 0.500 0.000 0.773
Pm 0.500 0.000 0.227
Pm 0.000 0.227 0.000


(8)
VASP calculation (GGA-PBE) on PmSmCd after structural relaxation.

- Energy relative to the lowest polymorph listed for this composition: 114 meV/atom
- E_form: -24.5 kJ/mol of formula units

Cell: 3.621 5.335 5.335 Å, 120.00 90.00 90.00°
Fractional positions:
Cd 0.670 0.667 0.333
Sm 0.952 0.000 0.000
Pm 0.377 0.333 0.667